The following is a PBE calculation of a relaxed structure of ErTmTe, from Alexandria.

## Properties
Raw formation energy (eV/atom): -0.746
Magnetic moment (Bohr magnetons per cell): 0.0
Energy relative to the lowest polymorph listed for this composition (eV per atom): 0.0558
Calculated total energy (eV per atom): -4.80
V (Å³ per atom): 29.9
Mass density (g/cm3): 8.58

abc: 3.9627 6.0623 8.1754
angles: 76.08 89.86 70.94
Space group P-1 (No. 2)
One atom of each set of equivalent atoms:
Er 0.1273 0.2459 0.4527 x2
Tm 0.3859 0.7312 0.2054 x2
Te 0.3302 0.8360 0.8197 x2

=====

The following is a PBE calculation of a relaxed structure of RbCrH2, from Alexandria.

## Properties
Magnetic moment (Bohr magnetons per cell): 0.0
Energy relative to the lowest polymorph listed for this composition (eV per atom): 0.1228
Calculated total energy (eV per atom): -4.10
V (Å³ per atom): 18.4
Mass density (g/cm3): 3.15

abc: 7.0836 5.6804 7.9675
angles: 90.00 113.52 90.00
Space group C2 (No. 5)
One atom of each set of equivalent atoms:
Rb 0.1343 0.0000 0.3062 x4
Cr 0.1348 0.5037 0.0505 x4
H 0.2142 0.4800 0.2886 x4
H 0.2460 0.7891 0.0424 x4

=====

The following is a PBE calculation of a relaxed structure of ErNi9Ge2, from Alexandria.

## Properties
Magnetic moment (Bohr magnetons per cell): 0.0
Calculated total energy (eV per atom): -5.66
V (Å³ per atom): 13.0
Mass density (g/cm3): 8.95
Formation enthalpy at 0 K (eV per atom): -0.1760

abc: 4.8234 4.8234 23.2229
angles: 90.00 90.00 120.00
Space group R-3m (No. 166, hexagonal axes)
One atom of each set of equivalent atoms:
Er 0.0000 0.0000 0.0000 x3
Ni 0.0000 0.0000 0.3340 x6
Ni 0.0000 0.0000 0.5000 x3
Ni 0.0054 0.5027 0.9135 x18
Ge 0.0000 0.0000 0.1373 x6

=====

Question: What is the calculated total energy in the first record?
Answer: -4.80 eV per atom

=====

Question: calculated total energy of number 3 (ErNi9Ge2)?
Answer: -5.66 eV per atom

=====

Question: Which formula does entry 1 have?
Answer: ErTmTe

=====

Question: What is the formula in the third record?
Answer: ErNi9Ge2